# 1
VASP calculation (PBE) on crystalline LiPr2USe6 at its relaxed geometry.

```
LiPr2USe6
1.0
6.858 0.000 0.000
0.000 7.657 0.000
-6.401 0.000 10.090
Li Pr U Se
2 4 2 12
Direct
0.000 0.000 0.000
0.000 0.500 0.500
0.200 0.105 0.743
0.200 0.395 0.243
0.800 0.605 0.757
0.800 0.895 0.257
0.500 0.000 0.500
0.500 0.500 0.000
0.112 0.183 0.439
0.112 0.317 0.939
0.263 0.687 0.432
0.263 0.813 0.932
0.384 0.040 0.245
0.384 0.460 0.745
0.616 0.540 0.255
0.616 0.960 0.755
0.737 0.187 0.068
0.737 0.313 0.568
0.888 0.683 0.061
0.888 0.817 0.561
```

## Properties
- M_tot: 1.00 μB/f.u.
- Symmetry: P2_1/c (14)
- DFT total energy: -117.68 eV for the cell shown

=====

# 2
VASP calculation (PBE) on crystalline LiPr2USe5 at its relaxed geometry.

```
LiPr2USe5
1.0
2.080 -8.704 0.000
2.080 8.704 0.000
0.000 0.000 12.554
Li Pr U Se
2 4 2 10
Direct
0.019 0.981 0.500
0.981 0.019 0.000
0.374 0.626 0.324
0.391 0.609 0.712
0.609 0.391 0.212
0.626 0.374 0.824
0.300 0.700 0.030
0.700 0.300 0.530
0.001 0.999 0.806
0.135 0.865 0.024
0.190 0.810 0.372
0.213 0.787 0.688
0.451 0.549 0.094
0.549 0.451 0.594
0.787 0.213 0.188
0.810 0.190 0.872
0.865 0.135 0.524
0.999 0.001 0.306
```

## Properties
- M_tot: 2.75 μB/f.u.
- Symmetry: Cmc2_1 (36)
- DFT total energy: -107.88 eV for the cell shown

=====

# 3
VASP calculation (PBE) on crystalline Li3PrY2Se6 at its relaxed geometry.

```
Li3PrY2Se6
1.0
3.576 -6.197 0.000
3.576 6.197 0.000
-2.377 0.000 6.517
Li Pr Y Se
3 1 2 6
Direct
0.000 0.000 0.000
0.331 0.669 0.000
0.669 0.331 0.000
0.500 0.500 0.500
0.167 0.833 0.500
0.833 0.167 0.500
0.072 0.415 0.245
0.242 0.242 0.757
0.415 0.072 0.245
0.585 0.928 0.755
0.758 0.758 0.243
0.928 0.585 0.755
```

## Properties
- M_tot: 0.00 μB/f.u.
- Symmetry: C2/m (12)
- DFT total energy: -64.57 eV for the cell shown